Record 1
NaErSn2 | the Alexandria database | GGA-PBE | optimized geometry; calculated density = 6312 kg/m3
1.0
-2.5987 1.0740 2.2087
-0.5894 -1.7595 3.0565
5.5160 5.8660 6.5319
Na Sn Er
1 2 1
Direct
0.0000 0.0000 0.0000
0.2485 0.2485 0.2544
0.7515 0.7515 0.7456
0.5000 0.5000 0.5000

Record 2
AlTeP2O | the Alexandria database | GGA-PBE | optimized geometry; offset from the most stable computed form = 0.0 meV/atom; uncorrected formation energy = -126 kJ/mol of formula units; calculated density = 4496 kg/m3
1.0
4.9647 0.0000 0.0000
0.0000 4.9647 0.0000
0.0000 0.0000 3.4841
Te O Al P
1 1 1 2
Direct
0.5000 0.5000 0.5000
0.0000 0.0000 0.5000
0.0000 0.0000 0.0000
0.5000 0.0000 0.0000
0.0000 0.5000 0.0000

no.,electronic total energy (eV/atom)
1,-3.742
2,-4.794